Entry 1:
VASP calculation (GGA-PBE) on La2YMo after structural relaxation.

The structure in CIF format:
```
data_La2YMo
_chemical_formula_sum 'La2 Y1 Mo1'
_symmetry_space_group_name_H-M 'P 4/m m m'
_symmetry_Int_Tables_number 123
_symmetry_space_group_name_Hall '-P 4 2'
_cell_length_a 4.7145
_cell_length_b 4.7145
_cell_length_c 4.9554
_cell_angle_alpha 90.00
_cell_angle_beta 90.00
_cell_angle_gamma 90.00
loop_
_atom_site_label
_atom_site_type_symbol
_atom_site_fract_x
_atom_site_fract_y
_atom_site_fract_z
_atom_site_occupancy
La1 La 0.0000 0.5000 0.0000 1
Y1 Y 0.0000 0.0000 0.5000 1
Mo1 Mo 0.5000 0.5000 0.5000 1
```

V: 27.54 A^3/atom
E above lowest polymorph: 0.172 eV per atom


Entry 2:
VASP calculation (GGA-PBE) on Cs2TlSe after structural relaxation.

The structure in CIF format:
```
data_Cs2TlSe
_chemical_formula_sum 'Cs8 Tl4 Se4'
_symmetry_space_group_name_H-M 'I -4 2 d'
_symmetry_Int_Tables_number 122
_symmetry_space_group_name_Hall 'I -4 2bw'
_cell_length_a 11.6865
_cell_length_b 11.6865
_cell_length_c 6.6157
_cell_angle_alpha 90.00
_cell_angle_beta 90.00
_cell_angle_gamma 90.00
loop_
_atom_site_label
_atom_site_type_symbol
_atom_site_fract_x
_atom_site_fract_y
_atom_site_fract_z
_atom_site_occupancy
Cs1 Cs 0.1366 0.7500 0.1250 1
Tl1 Tl 0.0000 0.0000 0.5000 1
Se1 Se 0.0000 0.0000 0.0000 1
```

V: 56.47 A^3/atom
E above lowest polymorph: 0.188 eV per atom
energy relative to the elements, uncorrected: -0.44 eV per atom


Entry 3:
VASP calculation (GGA-PBE) on NpGaRuRh after structural relaxation.

The structure in CIF format:
```
data_NpGaRuRh
_chemical_formula_sum 'Np4 Ga4 Ru4 Rh4'
_symmetry_space_group_name_H-M 'F -4 3 m'
_symmetry_Int_Tables_number 216
_symmetry_space_group_name_Hall 'F -4 2 3'
_cell_length_a 6.4636
_cell_length_b 6.4636
_cell_length_c 6.4636
_cell_angle_alpha 90.00
_cell_angle_beta 90.00
_cell_angle_gamma 90.00
loop_
_atom_site_label
_atom_site_type_symbol
_atom_site_fract_x
_atom_site_fract_y
_atom_site_fract_z
_atom_site_occupancy
Np1 Np 0.0000 0.0000 0.0000 1
Ga1 Ga 0.0000 0.0000 0.5000 1
Ru1 Ru 0.2500 0.2500 0.2500 1
Rh1 Rh 0.2500 0.2500 0.7500 1
```

V: 16.88 A^3/atom
electronic total energy: -8.5289 eV/atom


Entry 4:
VASP calculation (GGA-PBE) on Ac2Tl5Sn after structural relaxation.

The structure in CIF format:
```
data_Ac2Tl5Sn
_chemical_formula_sum 'Ac4 Tl10 Sn2'
_symmetry_space_group_name_H-M 'P b a m'
_symmetry_Int_Tables_number 55
_cell_length_a 7.1984
_cell_length_b 14.1655
_cell_length_c 4.9044
_cell_angle_alpha 90.00
_cell_angle_beta 90.00
_cell_angle_gamma 90.00
loop_
_symmetry_equiv_pos_as_xyz
'x,y,z'
'-x,-y,-z'
'-x,-y,z'
'x,y,-z'
'x+1/2,-y+1/2,-z'
'-x+1/2,y+1/2,z'
'-x+1/2,y+1/2,-z'
'x+1/2,-y+1/2,z'
loop_
_atom_site_label
_atom_site_type_symbol
_atom_site_fract_x
_atom_site_fract_y
_atom_site_fract_z
_atom_site_occupancy
Ac1 Ac 0.2393 0.1213 0.0000 1
Tl1 Tl 0.0000 0.5000 0.5000 1
Tl2 Tl 0.0150 0.7523 0.5000 1
Tl3 Tl 0.2406 0.3721 0.0000 1
Sn1 Sn 0.0000 0.0000 0.5000 1
```

V: 31.26 A^3/atom
electronic total energy: -3.3548 eV/atom


Entry 5:
VASP calculation (GGA-PBE) on Tl3PO4 after structural relaxation.

The structure in CIF format:
```
data_Tl3PO4
_chemical_formula_sum 'Tl6 P2 O8'
_symmetry_space_group_name_H-M 'I m m 2'
_symmetry_Int_Tables_number 44
_cell_length_a 5.7281
_cell_length_b 8.2454
_cell_length_c 6.6418
_cell_angle_alpha 90.00
_cell_angle_beta 90.00
_cell_angle_gamma 90.00
loop_
_symmetry_equiv_pos_as_xyz
'x,y,z'
'-x,-y,z'
'-x,y,z'
'x,-y,z'
'x+1/2,y+1/2,z+1/2'
'-x+1/2,-y+1/2,z+1/2'
'-x+1/2,y+1/2,z+1/2'
'x+1/2,-y+1/2,z+1/2'
loop_
_atom_site_label
_atom_site_type_symbol
_atom_site_fract_x
_atom_site_fract_y
_atom_site_fract_z
_atom_site_occupancy
Tl1 Tl 0.0000 0.0000 0.0000 1
Tl2 Tl 0.0000 0.2421 0.5388 1
P1 P 0.0000 0.5000 0.0470 1
O1 O 0.0000 0.3431 0.9157 1
O2 O 0.2262 0.5000 0.1819 1
```

V: 19.61 A^3/atom
energy relative to the elements, uncorrected: -1.49 eV per atom


Entry 6:
VASP calculation (GGA-PBE) on Ac2PaZnO6 after structural relaxation.

The structure in CIF format:
```
data_Ac2PaZnO6
_chemical_formula_sum 'Ac4 Pa2 Zn2 O12'
_symmetry_space_group_name_H-M 'P m m n'
_symmetry_Int_Tables_number 59
_cell_length_a 5.9106
_cell_length_b 8.4532
_cell_length_c 6.3425
_cell_angle_alpha 90.00
_cell_angle_beta 90.00
_cell_angle_gamma 90.00
loop_
_symmetry_equiv_pos_as_xyz
'x,y,z'
'-x,-y,-z'
'-x+1/2,-y+1/2,z'
'x+1/2,y+1/2,-z'
'x+1/2,-y,-z'
'-x+1/2,y,z'
'-x,y+1/2,-z'
'x,-y+1/2,z'
loop_
_atom_site_label
_atom_site_type_symbol
_atom_site_fract_x
_atom_site_fract_y
_atom_site_fract_z
_atom_site_occupancy
Ac1 Ac 0.2500 0.0315 0.1971 1
Pa1 Pa 0.2500 0.2500 0.7118 1
Zn1 Zn 0.2500 0.7500 0.7605 1
O1 O 0.0090 0.2500 0.9861 1
O2 O 0.0182 0.2500 0.4422 1
O3 O 0.2500 0.5045 0.7999 1
```

V: 15.84 A^3/atom
energy relative to the elements, uncorrected: -2.79 eV per atom


Entry 7:
VASP calculation (GGA-PBE) on TcMo2Pb after structural relaxation.

The structure in CIF format:
```
data_TcMo2Pb
_chemical_formula_sum 'Tc4 Mo8 Pb4'
_symmetry_space_group_name_H-M 'F -4 3 m'
_symmetry_Int_Tables_number 216
_symmetry_space_group_name_Hall 'F -4 2 3'
_cell_length_a 6.5000
_cell_length_b 6.5000
_cell_length_c 6.5000
_cell_angle_alpha 90.00
_cell_angle_beta 90.00
_cell_angle_gamma 90.00
loop_
_atom_site_label
_atom_site_type_symbol
_atom_site_fract_x
_atom_site_fract_y
_atom_site_fract_z
_atom_site_occupancy
Tc1 Tc 0.0000 0.0000 0.0000 1
Mo1 Mo 0.0000 0.0000 0.5000 1
Mo2 Mo 0.2500 0.2500 0.2500 1
Pb1 Pb 0.2500 0.2500 0.7500 1
```

V: 17.16 A^3/atom
electronic total energy: -8.3737 eV/atom


Entry 8:
VASP calculation (GGA-PBE) on Y3TiTe after structural relaxation.

The structure in CIF format:
```
data_Y3TiTe
_chemical_formula_sum 'Y3 Ti1 Te1'
_symmetry_space_group_name_H-M 'P m -3 m'
_symmetry_Int_Tables_number 221
_symmetry_space_group_name_Hall '-P 4 2 3'
_cell_length_a 5.6269
_cell_length_b 5.6269
_cell_length_c 5.6269
_cell_angle_alpha 90.00
_cell_angle_beta 90.00
_cell_angle_gamma 90.00
loop_
_atom_site_label
_atom_site_type_symbol
_atom_site_fract_x
_atom_site_fract_y
_atom_site_fract_z
_atom_site_occupancy
Y1 Y 0.0000 0.0000 0.5000 1
Ti1 Ti 0.5000 0.5000 0.5000 1
Te1 Te 0.0000 0.0000 0.0000 1
```

V: 35.63 A^3/atom
E above lowest polymorph: 0.027 eV per atom
energy relative to the elements, uncorrected: 0.30 eV per atom


Entry 9:
VASP calculation (GGA-PBE) on Mn3SiGe after structural relaxation.

The structure in CIF format:
```
data_Mn3SiGe
_chemical_formula_sum 'Mn3 Si1 Ge1'
_symmetry_space_group_name_H-M 'P m -3 m'
_symmetry_Int_Tables_number 221
_symmetry_space_group_name_Hall '-P 4 2 3'
_cell_length_a 4.4830
_cell_length_b 4.4830
_cell_length_c 4.4830
_cell_angle_alpha 90.00
_cell_angle_beta 90.00
_cell_angle_gamma 90.00
loop_
_atom_site_label
_atom_site_type_symbol
_atom_site_fract_x
_atom_site_fract_y
_atom_site_fract_z
_atom_site_occupancy
Mn1 Mn 0.0000 0.0000 0.5000 1
Si1 Si 0.0000 0.0000 0.0000 1
Ge1 Ge 0.5000 0.5000 0.5000 1
```

V: 18.02 A^3/atom
E above lowest polymorph: 0.000 eV per atom
energy relative to the elements, uncorrected: 0.54 eV per atom


Entry 10:
VASP calculation (GGA-PBE) on PmCdSe2 after structural relaxation.

The structure in CIF format:
```
data_PmCdSe2
_chemical_formula_sum 'Pm3 Cd3 Se6'
_symmetry_space_group_name_H-M 'R -3 m'
_symmetry_Int_Tables_number 166
_symmetry_space_group_name_Hall '-R 3 2"'
_cell_length_a 4.2562
_cell_length_b 4.2562
_cell_length_c 25.8705
_cell_angle_alpha 90.00
_cell_angle_beta 90.00
_cell_angle_gamma 120.00
loop_
_atom_site_label
_atom_site_type_symbol
_atom_site_fract_x
_atom_site_fract_y
_atom_site_fract_z
_atom_site_occupancy
Pm1 Pm 0.0000 0.0000 0.0000 1
Cd1 Cd 0.0000 0.0000 0.5000 1
Se1 Se 0.0000 0.0000 0.3959 1
```

V: 33.82 A^3/atom
energy relative to the elements, uncorrected: -1.07 eV per atom


Entry 11:
VASP calculation (GGA-PBE) on Cs3Dy2I9 after structural relaxation.

The structure in CIF format:
```
data_Cs3Dy2I9
_chemical_formula_sum 'Cs18 Dy12 I54'
_symmetry_space_group_name_H-M 'R -3 c'
_symmetry_Int_Tables_number 167
_symmetry_space_group_name_Hall '-R 3 2"c'
_cell_length_a 14.8691
_cell_length_b 14.8691
_cell_length_c 21.8027
_cell_angle_alpha 90.00
_cell_angle_beta 90.00
_cell_angle_gamma 120.00
loop_
_atom_site_label
_atom_site_type_symbol
_atom_site_fract_x
_atom_site_fract_y
_atom_site_fract_z
_atom_site_occupancy
Cs1 Cs 0.0000 0.3379 0.2500 1
Dy1 Dy 0.0000 0.0000 0.1555 1
I1 I 0.0000 0.1592 0.7500 1
I2 I 0.0060 0.1768 0.4097 1
```

V: 49.70 A^3/atom
energy relative to the elements, uncorrected: -1.49 eV per atom


Entry 12:
VASP calculation (GGA-PBE) on Te2MoCl after structural relaxation.

The structure in CIF format:
```
data_Te2MoCl
_chemical_formula_sum 'Te4 Mo2 Cl2'
_symmetry_space_group_name_H-M 'C 1 m 1'
_symmetry_Int_Tables_number 8
_cell_length_a 10.3562
_cell_length_b 3.4077
_cell_length_c 7.5337
_cell_angle_alpha 90.00
_cell_angle_beta 116.20
_cell_angle_gamma 90.00
loop_
_symmetry_equiv_pos_as_xyz
'x,y,z'
'x,-y,z'
'x+1/2,y+1/2,z'
'x+1/2,-y+1/2,z'
loop_
_atom_site_label
_atom_site_type_symbol
_atom_site_fract_x
_atom_site_fract_y
_atom_site_fract_z
_atom_site_occupancy
Te1 Te 0.0000 0.0000 0.0000 1
Te2 Te 0.2065 0.0000 0.7720 1
Mo1 Mo 0.4801 0.0000 0.7041 1
Cl1 Cl 0.3469 0.5000 0.4381 1
```

V: 29.82 A^3/atom
E above lowest polymorph: 0.056 eV per atom
energy relative to the elements, uncorrected: -0.11 eV per atom